## LaIn2Fe (GGA-PBE)

Data for LaIn2Fe after structural relaxation.

The value obtained for the formation energy is 2 kJ/mol of atoms. For the density of states at the Fermi level, the calculation gives 7.871 states/eV/cell. The value obtained for the calculated total energy is -4.698 eV/atom.

The structure belongs to space group Imm2 (No. 44); the cell edges are 3.214, 4.557 and 13.274 Å and the angles 90.00°, 90.00° and 90.00°. The inequivalent atoms are La at (0.000, 0.000, 0.000), In at (0.000, 0.000, 0.357), In at (0.000, 0.500, 0.197) and Fe at (0.000, 0.500, 0.690).